No. 1
The following is a GGA-PBE calculation of Na2MoH after structural relaxation, from Alexandria.

It has space group I-42d (No. 122), with a = 6.855 Å, b = 6.855 Å, c = 8.251 Å, α = 90.00°, β = 90.00° and γ = 90.00°. Symmetry generates all atoms from Na at (0.106, 0.250, 0.125), Mo at (0.000, 0.000, 0.500) and H at (0.000, 0.000, 0.000).

For the energy relative to the lowest polymorph listed for this composition, the calculation gives 0 meV/atom.

=====

No. 2
The following is a GGA-PBE calculation of CaFeB14 after structural relaxation, from Alexandria.

It has space group Imma (No. 74), with a = 5.849 Å, b = 10.552 Å, c = 8.283 Å, α = 90.00°, β = 90.00° and γ = 90.00°. Symmetry generates all atoms from Ca at (0.000, 0.250, 0.138), Fe at (0.250, 0.250, 0.750), B at (0.000, 0.087, 0.668), B at (0.000, 0.136, 0.870), B at (0.000, 0.166, 0.467), B at (0.160, 0.059, 0.338) and B at (0.248, 0.080, 0.546).

The formation energy comes out at -145 meV per atom.

=====

No. 3
The following is a GGA-PBE calculation of AlGe3W after structural relaxation, from Alexandria.

It has space group Pm-3m (No. 221), with a = 4.704 Å, b = 4.704 Å, c = 4.704 Å, α = 90.00°, β = 90.00° and γ = 90.00°. Symmetry generates all atoms from Al at (0.000, 0.000, 0.000), Ge at (0.000, 0.000, 0.500) and W at (0.500, 0.500, 0.500).

For the energy relative to the lowest polymorph listed for this composition, the calculation gives 967 meV/atom. The formation energy comes out at 1523 meV per atom.

=====

No. 4
The following is a GGA-PBE calculation of LiVHg after structural relaxation, from Alexandria.

It has space group Pnma (No. 62), with a = 8.189 Å, b = 2.993 Å, c = 8.632 Å, α = 90.00°, β = 90.00° and γ = 90.00°. Symmetry generates all atoms from Li at (0.072, 0.250, 0.161), V at (0.083, 0.250, 0.561) and Hg at (0.217, 0.250, 0.859).

For the energy relative to the lowest polymorph listed for this composition, the calculation gives 109 meV/atom. The formation energy comes out at 142 meV per atom.